Entry from the Alexandria database: a relaxed structure of AcSmSe2O (PBE).

The structure in CIF format:
```
data_AcSmSe2O
_space_group_name_H-M_alt 'P 4/n m m'
_space_group_IT_number 129
_cell_length_a 4.2081
_cell_length_b 4.2081
_cell_length_c 14.9698
_cell_angle_alpha 90.00
_cell_angle_beta 90.00
_cell_angle_gamma 90.00
loop_
_space_group_symop_operation_xyz
'x,y,z'
'-x,-y,-z'
'-y+1/2,x,z'
'y+1/2,-x,-z'
'-x+1/2,-y+1/2,z'
'x+1/2,y+1/2,-z'
'y,-x+1/2,z'
'-y,x+1/2,-z'
'x+1/2,-y,-z'
'-x+1/2,y,z'
'-y,-x,-z'
'y,x,z'
'-x,y+1/2,-z'
'x,-y+1/2,z'
'y+1/2,x+1/2,-z'
'-y+1/2,-x+1/2,z'
loop_
_atom_site_label
_atom_site_type_symbol
_atom_site_fract_x
_atom_site_fract_y
_atom_site_fract_z
Ac1 Ac 0.2500 0.2500 0.0868
Sm1 Sm 0.2500 0.2500 0.6206
Se1 Se 0.2500 0.2500 0.4091
Se2 Se 0.2500 0.2500 0.7997
O1 O 0.2500 0.7500 0.0000
```

The raw formation energy is -2436.9 meV/atom. The volume is 265 Å³/cell. The calculation puts the magnetic moment at 0.000 μB/atom.